# Li2Be2SiPt5

Li2Be2SiPt5 after structural relaxation (PBE, Alexandria via LeMat-Bulk).

Cell lengths 3.160, 9.274, 9.274 Å; angles 90.00, 90.00, 90.00 degrees
Element x y z (fractional)
Li 0.000 0.672 0.172
Li 0.000 0.328 0.828
Li 0.000 0.172 0.328
Li 0.000 0.828 0.672
Be 0.000 0.127 0.627
Be 0.000 0.873 0.373
Be 0.000 0.627 0.873
Be 0.000 0.373 0.127
Si 0.000 0.000 0.000
Si 0.000 0.500 0.500
Pt 0.500 0.204 0.072
Pt 0.500 0.796 0.928
Pt 0.500 0.072 0.796
Pt 0.500 0.704 0.428
Pt 0.500 0.928 0.204
Pt 0.500 0.296 0.572
Pt 0.500 0.572 0.704
Pt 0.500 0.428 0.296
Pt 0.500 0.500 0.000
Pt 0.500 0.000 0.500

Calculated values
E: -107.7 eV for the cell shown
calculated volume: 271.8 Å³/cell
space group: No. 127
uncorrected formation energy: -0.694 eV/atom